(1)
The following is a DFT calculation (meta-GGA SCAN) of a PBEsol-optimized structure of CaPr2Ti2ZnO9.

```
CaPr2Ti2ZnO9
1.0
5.433 0.000 0.000
-0.024 5.593 0.000
-0.064 -0.005 23.242
Ca Pr Ti Zn O
4 8 8 4 36
Direct
0.000 0.000 0.000
0.000 0.000 0.331
0.500 0.397 0.828
0.501 0.397 0.158
0.007 0.005 0.664
0.477 0.506 0.665
0.479 0.511 0.000
0.480 0.512 0.330
0.507 0.399 0.495
0.978 0.901 0.494
0.979 0.903 0.159
0.980 0.903 0.829
0.474 0.964 0.916
0.475 0.965 0.246
0.493 0.952 0.580
0.976 0.447 0.913
0.976 0.448 0.244
0.985 0.451 0.748
0.992 0.447 0.080
0.998 0.450 0.412
0.490 0.955 0.410
0.490 0.956 0.079
0.492 0.954 0.749
0.993 0.453 0.580
0.080 0.473 0.164
0.080 0.478 0.492
0.081 0.472 0.833
0.186 0.737 0.394
0.186 0.738 0.065
0.187 0.740 0.733
0.204 0.744 0.260
0.204 0.744 0.929
0.208 0.753 0.595
0.277 0.255 0.733
0.279 0.258 0.066
0.281 0.258 0.397
0.284 0.243 0.930
0.284 0.244 0.260
0.297 0.239 0.596
0.403 0.977 0.498
0.411 0.975 0.166
0.411 0.977 0.835
0.582 0.927 0.661
0.585 0.929 0.993
0.586 0.931 0.323
0.692 0.669 0.562
0.704 0.647 0.425
0.708 0.646 0.094
0.708 0.647 0.764
0.709 0.656 0.230
0.709 0.656 0.899
0.781 0.151 0.564
0.786 0.165 0.899
0.786 0.166 0.229
0.793 0.169 0.427
0.797 0.166 0.093
0.801 0.162 0.762
0.903 0.431 0.667
0.912 0.426 0.326
0.913 0.429 0.995
```

* spin magnetization: 0.0 μB per formula unit
* raw formation energy: -3302 meV/atom



(2)
The following is a DFT calculation (meta-GGA SCAN) of a PBEsol-optimized structure of YBeTl.

```
YBeTl
1.0
0.000 3.281 3.281
3.281 0.000 3.281
3.281 3.281 0.000
Y Be Tl
1 1 1
Direct
0.000 0.000 0.000
0.500 0.500 0.500
0.750 0.750 0.750
```

* spin magnetization: 0.0 μB per formula unit
* energy relative to the lowest polymorph listed for this composition: 295 meV per atom
* energy relative to the elements: -0.11 eV per formula unit



(3)
The following is a DFT calculation (meta-GGA SCAN) of a PBEsol-optimized structure of Pm2CdSn.

```
Pm2CdSn
1.0
0.000 3.760 3.760
3.760 0.000 3.760
3.760 3.760 0.000
Pm Cd Sn
2 1 1
Direct
0.250 0.250 0.250
0.750 0.750 0.750
0.000 0.000 0.000
0.500 0.500 0.500
```

* spin magnetization: 0.0 μB per formula unit
* energy relative to the elements: -2.56 eV per formula unit



(4)
The following is a DFT calculation (meta-GGA SCAN) of a PBEsol-optimized structure of BeAg2Mo.

```
BeAg2Mo
1.0
-1.339 2.260 4.665
1.339 -2.260 4.665
1.339 2.260 -4.665
Be Ag Mo
1 2 1
Direct
0.000 0.000 0.000
0.214 0.714 0.500
0.786 0.286 0.500
0.500 0.500 0.000
```

* spin magnetization: 0.0 μB per formula unit
* energy relative to the elements: 1.70 eV per formula unit



(5)
The following is a DFT calculation (meta-GGA SCAN) of a PBEsol-optimized structure of Tm2GeO5.

```
Tm2GeO5
1.0
9.147 0.000 0.000
0.000 6.796 0.000
-0.923 0.000 6.567
Tm Ge O
8 4 20
Direct
0.032 0.119 0.228
0.032 0.381 0.728
0.348 0.144 0.975
0.348 0.356 0.475
0.652 0.644 0.525
0.652 0.856 0.025
0.968 0.619 0.272
0.968 0.881 0.772
0.300 0.604 0.980
0.300 0.896 0.480
0.700 0.104 0.520
0.700 0.396 0.020
0.105 0.120 0.913
0.105 0.380 0.413
0.106 0.647 0.968
0.106 0.853 0.468
0.280 0.070 0.275
0.280 0.430 0.775
0.365 0.075 0.660
0.365 0.425 0.160
0.403 0.682 0.486
0.403 0.818 0.986
0.597 0.182 0.014
0.597 0.318 0.514
0.635 0.575 0.840
0.635 0.925 0.340
0.720 0.570 0.225
0.720 0.930 0.725
0.894 0.147 0.532
0.894 0.353 0.032
0.895 0.620 0.587
0.895 0.880 0.087
```

* spin magnetization: 0.0 μB per formula unit
* raw formation energy: -3249 meV/atom
* energy relative to the lowest polymorph listed for this composition: 0 meV per atom



(6)
The following is a DFT calculation (meta-GGA SCAN) of a PBEsol-optimized structure of Hf2MgAgHg.

```
Hf2MgAgHg
1.0
5.001 0.000 0.000
0.000 5.001 0.000
0.000 0.000 4.576
Hf Mg Ag Hg
2 1 1 1
Direct
0.000 0.500 0.000
0.500 0.000 0.000
0.000 0.000 0.000
0.000 0.000 0.500
0.500 0.500 0.500
```

* spin magnetization: 0.0 μB per formula unit
* energy relative to the elements: 5.47 eV per formula unit



(7)
The following is a DFT calculation (meta-GGA SCAN) of a PBEsol-optimized structure of SiPt2W.

```
SiPt2W
1.0
-1.597 2.091 4.318
1.597 -2.091 4.318
1.597 2.091 -4.318
Si Pt W
1 2 1
Direct
0.000 0.000 0.000
0.219 0.719 0.500
0.781 0.281 0.500
0.500 0.500 0.000
```

* spin magnetization: 0.0 μB per formula unit
* raw formation energy: -236 meV/atom



(8)
The following is a DFT calculation (meta-GGA SCAN) of a PBEsol-optimized structure of CoSbMo2.

```
CoSbMo2
1.0
2.951 0.000 0.000
0.000 3.986 0.000
0.000 0.000 5.195
Co Sb Mo
1 1 2
Direct
0.000 0.000 0.000
0.000 0.000 0.500
0.500 0.500 0.225
0.500 0.500 0.775
```

* spin magnetization: 0.0 μB per formula unit
* raw formation energy: 432 meV/atom



(9)
The following is a DFT calculation (meta-GGA SCAN) of a PBEsol-optimized structure of AlTlSb2Te.

```
AlTlSb2Te
1.0
5.246 0.000 0.000
0.000 5.246 0.000
0.000 0.000 5.440
Al Tl Sb Te
1 1 2 1
Direct
0.000 0.000 0.000
0.500 0.500 0.500
0.000 0.500 0.000
0.500 0.000 0.000
0.000 0.000 0.500
```

* spin magnetization: 0.0 μB per formula unit
* raw formation energy: 284 meV/atom



(10)
The following is a DFT calculation (meta-GGA SCAN) of a PBEsol-optimized structure of FePbS2O.

```
FePbS2O
1.0
4.213 0.000 0.000
0.000 4.213 0.000
0.000 0.000 4.774
Fe Pb S O
1 1 2 1
Direct
0.000 0.000 0.000
0.500 0.500 0.000
0.000 0.500 0.500
0.500 0.000 0.500
0.500 0.500 0.500
```

* spin magnetization: 3.3 μB per formula unit
* raw formation energy: 604 meV/atom